# 1
{"formula": "K3Os2PbO8", "functional": "PBE-GGA", "state": "optimized geometry", "raw_formation_energy_ev_per_atom": -1.18, "space_group": "P-3m1 (164)", "lattice_angstrom": [[-3.1532, -4.6282, 2.6188], [5.9297, 0.9281, 1.4825], [-2.2568, 4.9071, 5.9549]], "species": ["O", "O", "O", "O", "O", "O", "O", "O", "Pb", "K", "K", "K", "Os", "Os"], "frac_coords": [[0.8228, 0.6456, 0.7018], [0.1772, 0.3544, 0.2982], [0.8228, 0.1772, 0.7018], [0.3544, 0.1772, 0.7018], [0.6667, 0.3333, 0.0230], [0.1772, 0.8228, 0.2982], [0.6456, 0.8228, 0.2982], [0.3333, 0.6667, 0.9770], [0.0000, 0.0000, 0.5000], [0.0000, 0.0000, 0.0000], [0.3333, 0.6667, 0.6548], [0.6667, 0.3333, 0.3452], [0.6667, 0.3333, 0.8021], [0.3333, 0.6667, 0.1979]]}

=====

# 2
{"formula": "Sc2GaHAu", "functional": "PBE-GGA", "state": "optimized geometry", "space_group": "P4/mmm (123)", "lattice_angstrom": [[4.4955, 0.0000, 0.0000], [0.0000, 4.4955, 0.0000], [0.0000, 0.0000, 3.9343]], "species": ["Ga", "H", "Sc", "Sc", "Au"], "frac_coords": [[0.5000, 0.5000, 0.5000], [0.0000, 0.0000, 0.0000], [0.0000, 0.5000, 0.0000], [0.5000, 0.0000, 0.0000], [0.0000, 0.0000, 0.5000]]}

=====

# 3
{"formula": "BeHg2P", "functional": "PBE-GGA", "state": "optimized geometry", "e_above_lowest_polymorph_mev_per_atom": 567, "formation_enthalpy_0k_ev_per_atom": 0.5911, "space_group": "Immm (71)", "lattice_angstrom": [[-2.7385, 4.6140, -1.1990], [-3.0476, -1.2770, -4.3940], [0.9888, -0.6608, 5.3676]], "species": ["Hg", "Hg", "Be", "P"], "frac_coords": [[0.0267, 0.0267, 0.0000], [0.4733, 0.4733, 0.0000], [0.2500, 0.7500, 0.5000], [0.7500, 0.2500, 0.5000]]}

=====

| no. | DFT total energy (eV/atom) | mass density (Mg/m³) |
| --- | --- | --- |
| 1 | -6.117 | 5.20 |
| 2 | -4.984 | 7.47 |
| 3 | -1.844 | 9.37 |